This record from Alexandria via LeMat-Bulk describes an optimized crystal structure of ZnBSe3. The functional is PBE-GGA.

POSCAR file:
```
ZnBSe3
1.0
-1.572 2.665 -3.267
-2.568 -3.370 -1.514
-3.344 1.336 2.699
B Se Zn
1 3 1
Direct
0.000 0.000 0.000
0.500 0.000 0.000
0.000 0.500 0.000
0.000 0.000 0.500
0.500 0.500 0.500
```

Computed properties:
The space group is Pm-3m, No. 221. For the energy above the most stable polymorph in this dataset, the calculation gives 0.0 meV per atom. The value obtained for the raw formation energy is 653 meV/atom. The calculation puts the theoretical density at 5.71 Mg/m³.


This record from Alexandria via LeMat-Bulk describes an optimized crystal structure of ZnBSe2. The functional is PBE-GGA.

POSCAR file:
```
ZnBSe2
1.0
-4.262 -5.397 -0.070
-2.340 -5.350 3.633
-5.562 -2.797 2.923
Zn Se B
1 2 1
Direct
0.500 0.500 0.500
0.905 0.905 0.905
0.095 0.095 0.095
0.000 0.000 0.000
```

Computed properties:
The space group is R-3m, No. 166. For the energy above the most stable polymorph in this dataset, the calculation gives 82.7 meV per atom. The value obtained for the raw formation energy is 176 meV/atom. The calculation puts the theoretical density at 4.00 Mg/m³.


This record from Alexandria via LeMat-Bulk describes an optimized crystal structure of ZnBSe2. The functional is PBE-GGA.

POSCAR file:
```
ZnBSe2
1.0
6.087 0.000 0.000
0.000 6.087 0.000
3.043 3.043 4.037
Se Zn B
4 2 2
Direct
0.375 0.454 0.750
0.875 0.796 0.750
0.204 0.625 0.250
0.546 0.125 0.250
0.750 0.250 0.500
0.000 0.000 0.000
0.500 0.500 0.000
0.250 0.750 0.500
```

Computed properties:
The space group is I-42d, No. 122. For the energy above the most stable polymorph in this dataset, the calculation gives 0.0 meV per atom. The value obtained for the raw formation energy is 93 meV/atom. The calculation puts the theoretical density at 5.20 Mg/m³.


This record from Alexandria via LeMat-Bulk describes an optimized crystal structure of Zn2BSe. The functional is PBE-GGA.

POSCAR file:
```
Zn2BSe
1.0
-3.827 1.382 -3.942
-3.189 -4.419 1.547
-5.709 1.145 1.873
B Zn Se
2 4 2
Direct
0.250 0.750 0.500
0.500 0.500 0.000
0.375 0.426 0.750
0.176 0.625 0.250
0.875 0.824 0.750
0.574 0.125 0.250
0.750 0.250 0.500
0.000 0.000 0.000
```

Computed properties:
The space group is I-42d, No. 122. For the energy above the most stable polymorph in this dataset, the calculation gives 0.0 meV per atom. The value obtained for the raw formation energy is 454 meV/atom. The calculation puts the theoretical density at 4.94 Mg/m³.